Entry 1:
First-principles (GGA-PBE) data for a relaxed structure of Nd8Tm2Th, as listed in the Alexandria database.

## Properties
space-group type: No. 65
ΔE_f: 1.8 eV per formula unit

a b c (Å): 5.4551 8.5774 8.5774
angles (deg): 105.09 89.99 89.99
Closest atoms and distances in Å follow each position.
Sites, in units of the cell vectors:
Nd: 0.9999 0.7021 0.9657  7 Nd 3.47-3.70, 2 Tm 3.49-3.81, 2 Th 3.70
Nd: 0.0001 0.2979 0.0343  7 Nd 3.47-3.70, 2 Tm 3.49-3.81, 2 Th 3.70
Nd: 0.9999 0.9657 0.7021  7 Nd 3.47-3.70, 2 Tm 3.49-3.81, 2 Th 3.70
Nd: 0.0001 0.0343 0.2979  7 Nd 3.47-3.70, 2 Tm 3.49-3.81, 2 Th 3.70
Nd: 0.5000 0.2520 0.7480  2 Tm 3.24, 1 Th 3.43, 4 Nd 3.62
Nd: 0.5001 0.3320 0.3320  1 Th 3.46, 7 Nd 3.50-3.80, 4 Tm 3.62
Nd: 0.4999 0.6680 0.6680  1 Th 3.46, 7 Nd 3.50-3.80, 4 Tm 3.62
Nd: 0.5000 0.7480 0.2520  2 Tm 3.24, 1 Th 3.43, 4 Nd 3.62
Tm: 0.0000 0.3809 0.6191  8 Nd 3.24-3.62, 1 Tm 3.24
Tm: 0.0000 0.6191 0.3809  8 Nd 3.24-3.62, 1 Tm 3.24
Th: 0.5000 0.0000 0.0000  12 Nd 3.43-3.70

***

Entry 2:
First-principles (GGA-PBE) data for a relaxed structure of Er3Ag3Pb4, as listed in the Alexandria database.

## Properties
space-group type: No. 220
ΔE_f: -2.1 eV per formula unit

a b c (Å): 8.7492 8.7492 8.7492
angles (deg): 109.47 109.47 109.47
Closest atoms and distances in Å follow each position.
Sites, in units of the cell vectors:
Er: 0.3750 0.1250 0.7500  4 Ag 3.09, 4 Pb 3.37
Er: 0.2500 0.8750 0.1250  4 Ag 3.09, 4 Pb 3.37
Er: 0.7500 0.6250 0.3750  4 Ag 3.09, 4 Pb 3.37
Er: 0.6250 0.7500 0.8750  4 Ag 3.09, 4 Pb 3.37
Er: 0.1250 0.3750 0.2500  4 Ag 3.09, 4 Pb 3.37
Er: 0.8750 0.2500 0.6250  4 Ag 3.09, 4 Pb 3.37
Ag: 0.1250 0.7500 0.3750  4 Pb 2.88, 4 Er 3.09
Ag: 0.3750 0.2500 0.1250  4 Pb 2.88, 4 Er 3.09
Ag: 0.8750 0.6250 0.7500  4 Pb 2.88, 4 Er 3.09
Ag: 0.6250 0.8750 0.2500  4 Pb 2.88, 4 Er 3.09
Ag: 0.7500 0.1250 0.8750  4 Pb 2.88, 4 Er 3.09
Ag: 0.2500 0.3750 0.6250  4 Pb 2.88, 4 Er 3.09
Pb: 0.8104 0.5000 0.0000  3 Ag 2.88
Pb: 0.5000 0.8104 0.5000  3 Ag 2.88
Pb: 0.6896 0.1896 0.1896  3 Ag 2.88
Pb: 0.0000 0.0000 0.8104  3 Ag 2.88
Pb: 0.0000 0.0000 0.3104  3 Ag 2.88
Pb: 0.5000 0.3104 0.5000  3 Ag 2.88
Pb: 0.3104 0.5000 0.0000  3 Ag 2.88
Pb: 0.1896 0.6896 0.6896  3 Ag 2.88

***

Entry 3:
First-principles (GGA-PBE) data for a relaxed structure of La4H4Pb3, as listed in the Alexandria database.

## Properties
electronic total energy: -0.338 Ry/atom
space-group type: No. 217

a b c (Å): 6.8486 6.8486 6.8486
angles (deg): 109.47 109.47 109.47
Closest atoms and distances in Å follow each position.
Sites, in units of the cell vectors:
Pb: 0.0000 0.5000 0.5000  4 La 3.23, 4 H 3.28
Pb: 0.5000 0.5000 0.0000  4 La 3.23, 4 H 3.28
Pb: 0.5000 0.0000 0.5000  4 La 3.23, 4 H 3.28
H: 0.0000 0.0000 0.2456  4 La 2.49-2.69, 3 H 2.75
H: 0.7544 0.7544 0.7544  4 La 2.49-2.69, 3 H 2.75
H: 0.0000 0.2456 0.0000  4 La 2.49-2.69, 3 H 2.75
H: 0.2456 0.0000 0.0000  4 La 2.49-2.69, 3 H 2.75
La: 0.0000 0.6382 0.0000  4 H 2.49-2.69
La: 0.0000 0.0000 0.6382  4 H 2.49-2.69
La: 0.3618 0.3618 0.3618  4 H 2.49-2.69
La: 0.6382 0.0000 0.0000  4 H 2.49-2.69

***

Entry 4:
First-principles (GGA-PBE) data for a relaxed structure of TiCu2SiW, as listed in the Alexandria database.

## Properties
raw formation energy: 649.3 meV per atom
space-group type: No. 123

a b c (Å): 4.2239 4.6528 4.2239
angles (deg): 90.00 90.00 90.00
Closest atoms and distances in Å follow each position.
Sites, in units of the cell vectors:
Si: 0.0000 0.0000 0.0000  4 Cu 2.11, 2 W 2.33
Cu: 0.0000 0.0000 0.5000  2 Si 2.11
Cu: 0.5000 0.0000 0.0000  2 Si 2.11
W: 0.0000 0.5000 0.0000  2 Si 2.33
Ti: 0.5000 0.5000 0.5000  4 W 2.99, 8 Cu 3.14

***

Entry 5:
First-principles (GGA-PBE) data for a relaxed structure of ScInClF2, as listed in the Alexandria database.

## Properties
raw formation energy: -1246.4 meV per atom
space-group type: No. 123

a b c (Å): 4.3775 6.0516 4.3775
angles (deg): 90.00 90.00 90.00
Closest atoms and distances in Å follow each position.
Sites, in units of the cell vectors:
Sc: 0.5000 0.5000 0.5000  4 Cl 3.10
F: 0.5000 0.0000 0.0000  2 In 2.19
F: 0.0000 0.0000 0.5000  2 In 2.19
Cl: 0.0000 0.5000 0.0000  2 In 3.03, 4 Sc 3.10
In: 0.0000 0.0000 0.0000  4 F 2.19

***

Entry 6:
First-principles (GGA-PBE) data for a relaxed structure of MgPt8Rh2, as listed in the Alexandria database.

## Properties
space-group type: No. 12
ΔE_f: -2.5 eV per formula unit

a b c (Å): 3.9467 6.2511 7.3692
angles (deg): 104.90 105.53 90.00
Closest atoms and distances in Å follow each position.
Sites, in units of the cell vectors:
Mg: 0.5000 0.0000 0.0000  12 Pt 2.76-2.80
Pt: 0.6819 0.9156 0.3639  8 Pt 2.77-2.86, 1 Mg 2.77, 3 Rh 2.79-2.82
Pt: 0.5929 0.4482 0.1858  8 Pt 2.74-2.88, 3 Rh 2.74-2.78, 1 Mg 2.76
Pt: 0.4071 0.5518 0.8142  8 Pt 2.74-2.88, 3 Rh 2.74-2.78, 1 Mg 2.76
Pt: 0.8640 0.8155 0.7279  3 Rh 2.74-2.82, 7 Pt 2.74-2.82, 2 Mg 2.79
Pt: 0.0462 0.7276 0.0923  1 Rh 2.74, 9 Pt 2.78-2.83, 2 Mg 2.80
Pt: 0.9538 0.2724 0.9077  1 Rh 2.74, 9 Pt 2.78-2.83, 2 Mg 2.80
Pt: 0.3181 0.0844 0.6361  8 Pt 2.77-2.86, 1 Mg 2.77, 3 Rh 2.79-2.82
Pt: 0.1360 0.1845 0.2721  3 Rh 2.74-2.82, 7 Pt 2.74-2.82, 2 Mg 2.79
Rh: 0.2238 0.6320 0.4475  10 Pt 2.74-2.82, 2 Rh 2.80
Rh: 0.7762 0.3680 0.5525  10 Pt 2.74-2.82, 2 Rh 2.80

***

Entry 7:
First-principles (GGA-PBE) data for a relaxed structure of Ta2Hg2P, as listed in the Alexandria database.

## Properties
E above lowest polymorph: 0.664 eV per atom
space-group type: No. 139
ΔE_f: 3.3 eV per formula unit

a b c (Å): 3.7044 3.7044 7.8692
angles (deg): 76.39 76.39 90.00
Closest atoms and distances in Å follow each position.
Sites, in units of the cell vectors:
Hg: 0.7500 0.2500 0.5000  4 Hg 2.62
Hg: 0.2500 0.7500 0.5000  4 Hg 2.62
P: 0.0000 0.0000 0.0000  8 Ta 2.91
Ta: 0.5851 0.5851 0.8299  1 Ta 2.52
Ta: 0.4149 0.4149 0.1701  1 Ta 2.52

***

Entry 8:
First-principles (GGA-PBE) data for a relaxed structure of ScSe3, as listed in the Alexandria database.

## Properties
raw formation energy: -793.8 meV per atom
space-group type: No. 12

a b c (Å): 6.0857 6.0857 4.7696
angles (deg): 82.46 82.46 34.32
Closest atoms and distances in Å follow each position.
Sites, in units of the cell vectors:
Sc: 0.0000 0.0000 0.0000  8 Se 2.71-2.99
Se: 0.6677 0.6677 0.8133  1 Se 2.62, 2 Sc 2.71
Se: 0.5000 0.5000 0.5000  2 Se 2.62
Se: 0.3323 0.3323 0.1867  1 Se 2.62, 2 Sc 2.71

***

Entry 9:
First-principles (GGA-PBE) data for a relaxed structure of ErHf2Cu9, as listed in the Alexandria database.

## Properties
space-group type: No. 166
ΔE_f: -1.7 eV per formula unit

a b c (Å): 5.0433 5.0433 8.6019
angles (deg): 72.95 72.95 60.00
Closest atoms and distances in Å follow each position.
Sites, in units of the cell vectors:
Er: 0.0000 0.0000 0.0000  18 Cu 2.91-3.25
Cu: 0.5857 0.5857 0.7458  7 Cu 2.47-2.54
Cu: 0.9172 0.4143 0.2542  7 Cu 2.47-2.54
Cu: 0.4143 0.4143 0.2542  7 Cu 2.47-2.54
Cu: 0.4143 0.9172 0.2542  7 Cu 2.47-2.54
Cu: 0.0828 0.5857 0.7458  7 Cu 2.47-2.54
Cu: 0.5000 0.5000 0.5000  6 Cu 2.47
Cu: 0.5857 0.0828 0.7458  7 Cu 2.47-2.54
Cu: 0.6673 0.6673 0.9982  6 Cu 2.50-2.54
Cu: 0.3327 0.3327 0.0018  6 Cu 2.50-2.54
Hf: 0.8517 0.8517 0.4448  12 Cu 2.83-2.96, 3 Hf 3.05
Hf: 0.1483 0.1483 0.5552  12 Cu 2.83-2.96, 3 Hf 3.05

***

Entry 10:
First-principles (GGA-PBE) data for a relaxed structure of B5C3, as listed in the Alexandria database.

## Properties
E above lowest polymorph: 0.154 eV per atom
space-group type: No. 25
ΔE_f: 3.4 eV per formula unit

a b c (Å): 2.6601 4.1751 5.1701
angles (deg): 90.00 90.00 90.00
Closest atoms and distances in Å follow each position.
Sites, in units of the cell vectors:
B: 0.5000 0.5550 0.2500  2 C 1.58
B: 0.0000 0.3055 0.7500  2 C 1.61
B: 0.0000 0.2511 0.2500  4 B 1.73-1.84
B: 0.0000 0.9418 0.4721  2 C 1.59, 1 B 1.73
B: 0.0000 0.9418 0.0279  2 C 1.59, 1 B 1.73
C: 0.5000 0.7406 0.5159  1 C 1.51, 3 B 1.58-1.59
C: 0.5000 0.7406 0.9841  1 C 1.51, 3 B 1.58-1.59
C: 0.5000 0.5236 0.7500  2 C 1.51, 2 B 1.61

***

Entry 11:
First-principles (GGA-PBE) data for a relaxed structure of La3Nd11Si9O39, as listed in the Alexandria database.

## Properties
raw formation energy: -3255.8 meV per atom
space-group type: No. 173

a b c (Å): 9.6868 9.6868 21.3682
angles (deg): 90.00 90.00 120.00
Closest atoms and distances in Å follow each position.
Sites, in units of the cell vectors:
O: 0.5206 0.1108 0.0866  1 Si 1.63
O: 0.2486 0.9026 0.9765  1 Si 1.65
O: 0.4702 0.8738 0.2537  1 Si 1.65
O: 0.4098 0.5206 0.5866  1 Si 1.63
O: 0.0698 0.3116 0.5266  1 Si 1.64
O: 0.8406 0.3010 0.9109  1 Si 1.62
O: 0.3272 0.4917 0.7474  1 Si 1.64
O: 0.5964 0.4702 0.7537  1 Si 1.65
O: 0.8302 0.3137 0.5845  1 Si 1.66
O: 0.3489 0.2526 0.6884  1 Si 1.65
O: 0.3475 0.2533 0.1470  1 Si 1.66
O: 0.3459 0.2486 0.4765  1 Si 1.65
O: 0.0000 0.0000 0.4162  3 Nd 2.32
O: 0.8775 0.4060 0.4154  1 Si 1.65
O: 0.7582 0.0698 0.0266  1 Si 1.64
O: 0.0974 0.3459 0.9765  1 Si 1.65
O: 0.9036 0.6511 0.6884  1 Si 1.65
O: 0.6511 0.7474 0.1884  1 Si 1.65
O: 0.0822 0.3306 0.3098  1 Si 1.65
O: 0.7514 0.0974 0.4765  1 Si 1.65
O: 0.5395 0.8406 0.4109  1 Si 1.62
O: 0.9058 0.6525 0.1470  1 Si 1.66
O: 0.6694 0.7515 0.3098  1 Si 1.65
O: 0.8913 0.6440 0.3523  1 Si 1.66
O: 0.0942 0.3475 0.6470  1 Si 1.66
O: 0.8892 0.4098 0.0866  1 Si 1.63
O: 0.6863 0.5165 0.5845  1 Si 1.66
O: 0.6728 0.5083 0.2474  1 Si 1.64
O: 0.6541 0.7514 0.9765  1 Si 1.65
O: 0.5165 0.8302 0.0845  1 Si 1.66
O: 0.4714 0.8775 0.9154  1 Si 1.65
O: 0.7467 0.0942 0.1470  1 Si 1.66
O: 0.5286 0.1225 0.4154  1 Si 1.65
O: 0.8356 0.3272 0.2474  1 Si 1.64
O: 0.6525 0.7467 0.6470  1 Si 1.66
O: 0.2485 0.9178 0.3098  1 Si 1.65
O: 0.4060 0.5286 0.9154  1 Si 1.65
O: 0.1087 0.3560 0.8523  1 Si 1.66
O: 0.4835 0.1698 0.5845  1 Si 1.66
O: 0.4794 0.8892 0.5866  1 Si 1.63
O: 0.2533 0.9058 0.6470  1 Si 1.66
O: 0.6990 0.5395 0.9109  1 Si 1.62
O: 0.3116 0.2418 0.0266  1 Si 1.64
O: 0.6440 0.7527 0.8523  1 Si 1.66
O: 0.0000 0.0000 0.7489  3 Nd 2.29
O: 0.1594 0.6990 0.4109  1 Si 1.62
O: 0.4605 0.1594 0.9109  1 Si 1.62
O: 0.1698 0.6863 0.0845  1 Si 1.66
O: 0.5298 0.1262 0.7537  1 Si 1.65
O: 0.6884 0.7582 0.5266  1 Si 1.64
O: 0.8738 0.4036 0.7537  1 Si 1.65
O: 0.0000 0.0000 0.2489  3 Nd 2.29
O: 0.1225 0.5940 0.9154  1 Si 1.65
O: 0.3306 0.2485 0.8098  1 Si 1.65
O: 0.0964 0.3489 0.1884  1 Si 1.65
O: 0.4036 0.5298 0.2537  1 Si 1.65
O: 0.0000 0.0000 0.0922  3 Nd 2.30
O: 0.7527 0.1087 0.3523  1 Si 1.66
O: 0.7474 0.0964 0.6884  1 Si 1.65
O: 0.2418 0.9302 0.5266  1 Si 1.64
O: 0.7515 0.0822 0.8098  1 Si 1.65
O: 0.0000 0.0000 0.9162  3 Nd 2.32
O: 0.9302 0.6884 0.0266  1 Si 1.64
O: 0.3010 0.4605 0.4109  1 Si 1.62
O: 0.1108 0.5902 0.5866  1 Si 1.63
O: 0.5083 0.8356 0.7474  1 Si 1.64
O: 0.1262 0.5964 0.2537  1 Si 1.65
O: 0.0000 0.0000 0.5922  3 Nd 2.30
O: 0.2526 0.9036 0.1884  1 Si 1.65
O: 0.3137 0.4835 0.0845  1 Si 1.66
O: 0.4917 0.1644 0.2474  1 Si 1.64
O: 0.5940 0.4714 0.4154  1 Si 1.65
O: 0.9026 0.6541 0.4765  1 Si 1.65
O: 0.2473 0.8913 0.8523  1 Si 1.66
O: 0.9178 0.6694 0.8098  1 Si 1.65
O: 0.3560 0.2473 0.3523  1 Si 1.66
O: 0.5902 0.4794 0.0866  1 Si 1.63
O: 0.1644 0.6728 0.7474  1 Si 1.64
Nd: 0.3333 0.6667 0.6564  6 O 2.41-2.56
Nd: 0.2402 0.2316 0.5822  5 O 2.30-2.47
Nd: 0.3333 0.6667 0.8302  6 O 2.43-2.56
Nd: 0.7591 0.7679 0.7499  6 O 2.29-2.56
Nd: 0.9888 0.7553 0.9185  7 O 2.32-2.59
Nd: 0.7553 0.7665 0.4185  7 O 2.32-2.59
Nd: 0.9913 0.7591 0.2499  6 O 2.29-2.56
Nd: 0.2447 0.2335 0.9185  7 O 2.32-2.59
Nd: 0.2335 0.9888 0.4185  7 O 2.32-2.59
Nd: 0.6667 0.3333 0.3302  6 O 2.43-2.56
Nd: 0.7665 0.0112 0.9185  7 O 2.32-2.59
Nd: 0.7684 0.0087 0.5822  5 O 2.30-2.47
Nd: 0.7598 0.7684 0.0822  5 O 2.30-2.47
Nd: 0.0087 0.2402 0.0822  5 O 2.30-2.47
Nd: 0.0112 0.2447 0.4185  7 O 2.32-2.59
Nd: 0.7679 0.0087 0.2499  6 O 2.29-2.56
Nd: 0.2316 0.9913 0.0822  5 O 2.30-2.47
Nd: 0.6667 0.3333 0.1564  6 O 2.41-2.56
Nd: 0.9913 0.7598 0.5822  5 O 2.30-2.47
Nd: 0.2409 0.2321 0.2499  6 O 2.29-2.56
Nd: 0.0087 0.2409 0.7499  6 O 2.29-2.56
Nd: 0.2321 0.9913 0.7499  6 O 2.29-2.56
Si: 0.0275 0.3970 0.5841  4 O 1.63-1.66
Si: 0.6355 0.0329 0.4143  4 O 1.62-1.66
Si: 0.3696 0.9725 0.5841  4 O 1.63-1.66
Si: 0.6002 0.6286 0.2499  4 O 1.64-1.65
Si: 0.3714 0.9715 0.2499  4 O 1.64-1.65
Si: 0.3970 0.3696 0.0841  4 O 1.63-1.66
Si: 0.9715 0.6002 0.7499  4 O 1.64-1.65
Si: 0.9671 0.6026 0.4143  4 O 1.62-1.66
Si: 0.6286 0.0285 0.7499  4 O 1.64-1.65
Si: 0.3974 0.3645 0.4143  4 O 1.62-1.66
Si: 0.6030 0.6304 0.5841  4 O 1.63-1.66
Si: 0.0329 0.3974 0.9143  4 O 1.62-1.66
Si: 0.6026 0.6355 0.9143  4 O 1.62-1.66
Si: 0.6304 0.0275 0.0841  4 O 1.63-1.66
Si: 0.0285 0.3998 0.2499  4 O 1.64-1.65
Si: 0.3998 0.3714 0.7499  4 O 1.64-1.65
Si: 0.9725 0.6030 0.0841  4 O 1.63-1.66
Si: 0.3645 0.9671 0.9143  4 O 1.62-1.66
La: 0.6667 0.3333 0.5002  6 O 2.47-2.55
La: 0.3333 0.6667 0.1693  6 O 2.48-2.53
La: 0.6667 0.3333 0.8439  6 O 2.35-2.61
La: 0.3333 0.6667 0.3439  6 O 2.35-2.61
La: 0.6667 0.3333 0.6693  6 O 2.48-2.53
La: 0.3333 0.6667 0.0002  6 O 2.47-2.55

***

Entry 12:
First-principles (GGA-PBE) data for a relaxed structure of PrDyCoI, as listed in the Alexandria database.

## Properties
raw formation energy: -562.7 meV per atom
space-group type: No. 160

a b c (Å): 4.0083 4.0067 8.3835
angles (deg): 89.98 103.82 120.00
Closest atoms and distances in Å follow each position.
Sites, in units of the cell vectors:
Dy: 0.0914 0.9438 0.0495  3 Co 2.70-2.71
I: 0.9617 0.3790 0.3563  3 Dy 3.39, 3 Pr 3.54
Pr: 0.5164 0.1560 0.6883  3 Co 2.76
Co: 0.3084 0.5521 0.8755  3 Dy 2.70-2.71, 3 Pr 2.76

***

Copy entry 9 word for word.
First-principles (GGA-PBE) data for a relaxed structure of ErHf2Cu9, as listed in the Alexandria database.

## Properties
space-group type: No. 166
ΔE_f: -1.7 eV per formula unit

a b c (Å): 5.0433 5.0433 8.6019
angles (deg): 72.95 72.95 60.00
Closest atoms and distances in Å follow each position.
Sites, in units of the cell vectors:
Er: 0.0000 0.0000 0.0000  18 Cu 2.91-3.25
Cu: 0.5857 0.5857 0.7458  7 Cu 2.47-2.54
Cu: 0.9172 0.4143 0.2542  7 Cu 2.47-2.54
Cu: 0.4143 0.4143 0.2542  7 Cu 2.47-2.54
Cu: 0.4143 0.9172 0.2542  7 Cu 2.47-2.54
Cu: 0.0828 0.5857 0.7458  7 Cu 2.47-2.54
Cu: 0.5000 0.5000 0.5000  6 Cu 2.47
Cu: 0.5857 0.0828 0.7458  7 Cu 2.47-2.54
Cu: 0.6673 0.6673 0.9982  6 Cu 2.50-2.54
Cu: 0.3327 0.3327 0.0018  6 Cu 2.50-2.54
Hf: 0.8517 0.8517 0.4448  12 Cu 2.83-2.96, 3 Hf 3.05
Hf: 0.1483 0.1483 0.5552  12 Cu 2.83-2.96, 3 Hf 3.05